# 1
Computed, not measured: a relaxed structure of NdLuInRh at the PBE level of DFT.

abc: 7.261 7.261 7.261
angles: 90.00 90.00 90.00
Space group F-43m (No. 216)
One atom of each set of equivalent atoms:
Nd1 0.000 0.000 0.000 (multiplicity 4)
Lu1 0.000 0.000 0.500 (multiplicity 4)
In1 0.250 0.250 0.750 (multiplicity 4)
Rh1 0.250 0.250 0.250 (multiplicity 4)

Formation enthalpy at 0 K ... -195 kJ/mol of formula units
DOS(E_F) ... 11.44 states/eV per cell
M_tot ... 0.0 μB per formula unit


# 2
Computed, not measured: a relaxed structure of NdSmLuIn at the PBE level of DFT.

abc: 7.794 7.794 7.794
angles: 90.00 90.00 90.00
Space group F-43m (No. 216)
One atom of each set of equivalent atoms:
Nd1 0.000 0.000 0.000 (multiplicity 4)
Sm1 0.000 0.000 0.500 (multiplicity 4)
Lu1 0.250 0.250 0.250 (multiplicity 4)
In1 0.250 0.250 0.750 (multiplicity 4)

Formation enthalpy at 0 K ... -62 kJ/mol of formula units
DOS(E_F) ... 28.01 states/eV per cell
M_tot ... 0.0 μB per formula unit